## Tm5PuSe6 (PBE)

Data for crystalline Tm5PuSe6 at its relaxed geometry.

Cell lengths 6.9800, 6.9800, 7.0117 Å; angles 99.56, 99.56, 120.07 degrees
With the nearest neighbours (Å) after each atom.
Fractional positions:
Tm (0.8356, 0.1644, 0.5000)  6 Se 2.82-2.86
Tm (0.6676, 0.3324, 0.0000)  6 Se 2.85
Tm (0.5000, 0.5000, 0.5000)  6 Se 2.81-2.85
Tm (0.3324, 0.6676, 0.0000)  6 Se 2.85
Tm (0.1644, 0.8356, 0.5000)  6 Se 2.82-2.86
Se (0.4245, 0.0851, 0.2546)  5 Tm 2.82-2.86, 1 Pu 2.91
Se (0.9149, 0.5755, 0.7454)  5 Tm 2.82-2.86, 1 Pu 2.91
Se (0.2562, 0.2562, 0.7487)  5 Tm 2.81-2.85, 1 Pu 2.90
Se (0.7438, 0.7438, 0.2513)  5 Tm 2.81-2.85, 1 Pu 2.90
Se (0.0851, 0.4245, 0.2546)  5 Tm 2.82-2.86, 1 Pu 2.91
Se (0.5755, 0.9149, 0.7454)  5 Tm 2.82-2.86, 1 Pu 2.91
Pu (0.0000, 0.0000, 0.0000)  6 Se 2.90-2.91

## Properties
total magnetization = 6.12 Bohr magnetons per cell
formation energy (no corrections) = -1.66 eV per atom
space-group type = C2/m, No. 12